1.
The following is a DFT calculation (PBE) of crystalline ZrInCoIr at its relaxed geometry.

The structure belongs to space group F-43m (No. 216); the cell edges are 6.458, 6.458 and 6.458 Å and the angles 90.00°, 90.00° and 90.00°. The asymmetric unit holds Zr at (0.000, 0.000, 0.000), In at (0.250, 0.250, 0.250), Co at (0.000, 0.000, 0.500) and Ir at (0.250, 0.250, 0.750).

For the offset from the most stable computed form, the calculation gives 0.4323 eV/atom. The total energy comes out at -109.0 eV/cell. Its magnetic moment is 7.07 Bohr magnetons per cell.



2.
The following is a DFT calculation (PBE) of crystalline ZrInCoIr at its relaxed geometry.

The structure belongs to space group F-43m (No. 216); the cell edges are 6.446, 6.446 and 6.446 Å and the angles 90.00°, 90.00° and 90.00°. The asymmetric unit holds Zr at (0.000, 0.000, 0.000), In at (0.000, 0.000, 0.500), Co at (0.250, 0.250, 0.750) and Ir at (0.250, 0.250, 0.250).

For the offset from the most stable computed form, the calculation gives 0.0000 eV/atom. The total energy comes out at -115.9 eV/cell. Its magnetic moment is 4.02 Bohr magnetons per cell.



3.
The following is a DFT calculation (PBE) of crystalline KInCoSe3 at its relaxed geometry.

The structure belongs to space group P2_1/m (No. 11); the cell edges are 8.984, 3.931 and 9.688 Å and the angles 90.00°, 106.40° and 90.00°. The asymmetric unit holds K at (0.205, 0.250, 0.251), In at (0.336, 0.750, 0.877), Co at (0.067, 0.250, 0.583), Se at (0.115, 0.250, 0.843), Se at (0.195, 0.750, 0.538) and Se at (0.464, 0.750, 0.166).

The total energy comes out at -49.8 eV/cell. Its magnetic moment is 4.00 Bohr magnetons per cell.



4.
The following is a DFT calculation (PBE) of crystalline La6InCo13 at its relaxed geometry.

The structure belongs to space group I4/mcm (No. 140); the cell edges are 8.025, 8.025 and 23.161 Å and the angles 90.00°, 90.00° and 90.00°. The asymmetric unit holds La at (0.000, 0.000, 0.101), La at (0.162, 0.338, 0.180), In at (0.000, 0.000, 0.250), Co at (0.000, 0.500, 0.000), Co at (0.065, 0.214, 0.500), Co at (0.113, 0.387, 0.412) and Co at (0.177, 0.323, 0.056).

The total energy comes out at -508.3 eV/cell. Its magnetic moment is 59.67 Bohr magnetons per cell.



5.
The following is a DFT calculation (PBE) of crystalline LaInCoS3 at its relaxed geometry.

The structure belongs to space group Cmcm (No. 63); the cell edges are 4.023, 13.603 and 11.079 Å and the angles 90.00°, 90.00° and 90.00°. The asymmetric unit holds La at (0.000, 0.000, 0.000), In at (0.000, 0.249, 0.250), Co at (0.000, 0.474, 0.750), S at (0.000, 0.062, 0.750) and S at (0.000, 0.371, 0.591).

The total energy comes out at -131.4 eV/cell. Its magnetic moment is 11.28 Bohr magnetons per cell.



6.
The following is a DFT calculation (PBE) of crystalline LaInCoTe3 at its relaxed geometry.

The structure belongs to space group Cmcm (No. 63); the cell edges are 4.291, 15.136 and 11.886 Å and the angles 90.00°, 90.00° and 90.00°. The asymmetric unit holds La at (0.000, 0.000, 0.000), In at (0.000, 0.247, 0.250), Co at (0.000, 0.474, 0.750), Te at (0.000, 0.076, 0.750) and Te at (0.000, 0.360, 0.588).

The total energy comes out at -111.0 eV/cell. Its magnetic moment is 9.72 Bohr magnetons per cell.